[1]
Material: TaHPd
Method: DFT, PBE
State: optimized geometry

Cell lengths 5.095, 5.095, 5.095 Å; angles 147.76, 147.76, 46.24 degrees
Atoms (fractional coordinates):
Ta 0.000 0.000 0.000
H 0.566 0.566 0.000
Pd 0.286 0.286 0.000

D(E_F)   0.526 states/eV per atom
E_tot   -0.4993 Ry per atom



[2]
Material: BaMnMo
Method: DFT, PBE
State: optimized geometry

Cell lengths 11.792, 11.792, 3.245 Å; angles 91.78, 91.78, 19.37 degrees
Atoms (fractional coordinates):
Ba 0.169 0.169 0.483
Ba 0.831 0.831 0.517
Mn 0.039 0.039 0.262
Mn 0.961 0.961 0.738
Mo 0.451 0.451 0.163
Mo 0.549 0.549 0.837

Formation energy   564 meV per atom
D(E_F)   1.109 states/eV per atom
E_tot   -0.4957 Ry per atom



no.,magnetic moment (μB per atom)
1,0.000
2,0.371